No. 1
# Pr5Al4Cd (PBE-GGA, relaxed)
# ΔE_f = -334 meV/atom
data_Pr5Al4Cd
_symmetry_space_group_name_H-M 'P 4/m m m'
_symmetry_Int_Tables_number 123
_symmetry_space_group_name_Hall '-P 4 2'
_cell_length_a 3.747
_cell_length_b 3.747
_cell_length_c 19.304
_cell_angle_alpha 90.00
_cell_angle_beta 90.00
_cell_angle_gamma 90.00
loop_
_atom_site_label
_atom_site_fract_x
_atom_site_fract_y
_atom_site_fract_z
Pr1 0.000 0.000 0.000
Pr2 0.000 0.000 0.195
Pr3 0.000 0.000 0.391
Al1 0.500 0.500 0.097
Al2 0.500 0.500 0.295
Cd1 0.500 0.500 0.500



No. 2
# Zr3ZnCu2 (PBE-GGA, relaxed)
# Offset from the most stable computed form = 1.2 meV/atom
# ΔE_f = -157 meV/atom
data_Zr3ZnCu2
_symmetry_space_group_name_H-M 'C m m m'
_symmetry_Int_Tables_number 65
_symmetry_space_group_name_Hall '-C 2 2'
_cell_length_a 4.685
_cell_length_b 14.064
_cell_length_c 3.269
_cell_angle_alpha 90.00
_cell_angle_beta 90.00
_cell_angle_gamma 90.00
loop_
_atom_site_label
_atom_site_fract_x
_atom_site_fract_y
_atom_site_fract_z
Zr1 0.000 0.000 0.000
Zr2 0.000 0.330 0.000
Zn1 0.000 0.500 0.500
Cu1 0.000 0.161 0.500



No. 3
# Dy4InAu7 (PBE-GGA, relaxed)
# ΔE_f = -653 meV/atom
data_Dy4InAu7
_symmetry_space_group_name_H-M 'C 1 2/m 1'
_symmetry_Int_Tables_number 12
_symmetry_space_group_name_Hall '-C 2y'
_cell_length_a 14.312
_cell_length_b 5.204
_cell_length_c 8.878
_cell_angle_alpha 90.00
_cell_angle_beta 122.87
_cell_angle_gamma 90.00
loop_
_atom_site_label
_atom_site_fract_x
_atom_site_fract_y
_atom_site_fract_z
Dy1 0.060 0.000 0.237
Dy2 0.239 0.000 0.754
In1 0.000 0.500 0.500
Au1 0.000 0.000 0.500
Au2 0.064 0.500 0.876
Au3 0.188 0.000 0.054
Au4 0.199 0.500 0.508



No. 4
# RbBi2Pd (PBE-GGA, relaxed)
# Offset from the most stable computed form = 54.4 meV/atom
# ΔE_f = -241 meV/atom
data_RbBi2Pd
_symmetry_space_group_name_H-M 'I m m m'
_symmetry_Int_Tables_number 71
_symmetry_space_group_name_Hall '-I 2 2'
_cell_length_a 5.257
_cell_length_b 10.172
_cell_length_c 18.667
_cell_angle_alpha 90.00
_cell_angle_beta 90.00
_cell_angle_gamma 90.00
loop_
_atom_site_label
_atom_site_fract_x
_atom_site_fract_y
_atom_site_fract_z
Rb1 0.000 0.000 0.202
Rb2 0.000 0.244 0.000
Bi1 0.000 0.000 0.412
Bi2 0.000 0.342 0.197
Bi3 0.000 0.500 0.419
Pd1 0.000 0.249 0.346



No. 5
# Mg7Pb6 (PBE-GGA, relaxed)
# ΔE_f = -15 meV/atom
data_Mg7Pb6
_symmetry_space_group_name_H-M 'R -3 m'
_symmetry_Int_Tables_number 166
_symmetry_space_group_name_Hall '-R 3 2"'
_cell_length_a 5.9973
_cell_length_b 5.9973
_cell_length_c 33.2194
_cell_angle_alpha 90.00
_cell_angle_beta 90.00
_cell_angle_gamma 120.00
loop_
_atom_site_label
_atom_site_fract_x
_atom_site_fract_y
_atom_site_fract_z
Mg1 0.0000 0.0000 0.0000
Mg2 0.0018 0.5009 0.4114
Pb1 0.0000 0.0000 0.1642
Pb2 0.0000 0.0000 0.3460
Pb3 0.0000 0.0000 0.4482



No. 6
# Cs2CdPbC (PBE-GGA, relaxed)
# ΔE_f = 865 meV/atom
data_Cs2CdPbC
_symmetry_space_group_name_H-M 'P 4/m m m'
_symmetry_Int_Tables_number 123
_symmetry_space_group_name_Hall '-P 4 2'
_cell_length_a 7.506
_cell_length_b 7.506
_cell_length_c 4.474
_cell_angle_alpha 90.00
_cell_angle_beta 90.00
_cell_angle_gamma 90.00
loop_
_atom_site_label
_atom_site_fract_x
_atom_site_fract_y
_atom_site_fract_z
Cs1 0.000 0.500 0.000
Cd1 0.000 0.000 0.500
Pb1 0.500 0.500 0.000
C1 0.500 0.500 0.500



No. 7
# Ce2PmRh9 (PBE-GGA, relaxed)
# ΔE_f = -555 meV/atom
data_Ce2PmRh9
_symmetry_space_group_name_H-M 'R -3 m'
_symmetry_Int_Tables_number 166
_symmetry_space_group_name_Hall '-R 3 2"'
_cell_length_a 5.2789
_cell_length_b 5.2789
_cell_length_c 26.5091
_cell_angle_alpha 90.00
_cell_angle_beta 90.00
_cell_angle_gamma 120.00
loop_
_atom_site_label
_atom_site_fract_x
_atom_site_fract_y
_atom_site_fract_z
Ce1 0.0000 0.0000 0.1386
Pm1 0.0000 0.0000 0.0000
Rh1 0.0000 0.0000 0.3330
Rh2 0.0000 0.0000 0.5000
Rh3 0.0021 0.5010 0.9169



No. 8
# Li2Ca5Cl12 (PBE-GGA, relaxed)
# E_form (uncorrected) = -2208 meV/atom
data_Li2Ca5Cl12
_symmetry_space_group_name_H-M 'C 1 2/m 1'
_symmetry_Int_Tables_number 12
_symmetry_space_group_name_Hall '-C 2y'
_cell_length_a 14.381
_cell_length_b 7.760
_cell_length_c 9.868
_cell_angle_alpha 90.00
_cell_angle_beta 112.30
_cell_angle_gamma 90.00
loop_
_atom_site_label
_atom_site_fract_x
_atom_site_fract_y
_atom_site_fract_z
Li1 0.000 0.212 0.000
Ca1 0.000 0.500 0.500
Ca2 0.194 0.000 0.375
Ca3 0.234 0.000 0.967
Cl1 0.021 0.000 0.825
Cl2 0.078 0.500 0.815
Cl3 0.139 0.264 0.513
Cl4 0.182 0.237 0.137



| no. | E_tot (eV per atom) |
| --- | --- |
| 1 | -4.31 |
| 2 | -6.01 |
| 3 | -4.33 |
| 4 | -3.72 |
| 5 | -2.59 |
| 6 | -2.25 |
| 7 | -7.45 |
| 8 | -4.10 |